The following is a DFT calculation (PBE-GGA) of a relaxed structure of ZrTe.

a = 8.9383 Å, b = 8.9383 Å, c = 8.9383 Å
α = 90.00°, β = 90.00°, γ = 90.00°
Space group I-43m (No. 217)
One atom of each set of equivalent atoms:
Zr (0.1225, 0.1225, 0.1225) (multiplicity 8)
Te (0.1863, 0.1863, 0.8137) (multiplicity 8)

Computed properties:
* formation energy from raw total energies: -36.2 kJ per mole of atoms
* crystal system: cubic

The following is a DFT calculation (PBE-GGA) of a relaxed structure of LaHo2FeN4.

a = 3.4217 Å, b = 11.4784 Å, c = 11.5439 Å
α = 90.00°, β = 90.00°, γ = 90.00°
Space group Cmcm (No. 63)
One atom of each set of equivalent atoms:
La (0.0000, 0.1118, 0.2500) (multiplicity 4)
Ho (0.0000, 0.3678, 0.0448) (multiplicity 8)
Fe (0.0000, 0.1592, 0.7500) (multiplicity 4)
N (0.0000, 0.0000, 0.0000) (multiplicity 4)
N (0.0000, 0.2658, 0.6271) (multiplicity 8)
N (0.0000, 0.4074, 0.2500) (multiplicity 4)

Computed properties:
* formation energy from raw total energies: -112.9 kJ per mole of atoms
* crystal system: orthorhombic

The following is a DFT calculation (PBE-GGA) of a relaxed structure of LaPmInGe.

a = 7.6249 Å, b = 7.6249 Å, c = 7.6249 Å
α = 90.00°, β = 90.00°, γ = 90.00°
Space group F-43m (No. 216)
One atom of each set of equivalent atoms:
La (0.0000, 0.0000, 0.0000) (multiplicity 4)
Pm (0.0000, 0.0000, 0.5000) (multiplicity 4)
In (0.2500, 0.2500, 0.2500) (multiplicity 4)
Ge (0.2500, 0.2500, 0.7500) (multiplicity 4)

Computed properties:
* crystal system: cubic
* ΔE_f: -520 meV/atom

| no. | uncorrected energy (eV/atom) |
| --- | --- |
| 1 | -6.220 |
| 2 | -8.151 |
| 3 | -4.779 |